Computed, not measured: a geometry-optimized V2CdCuO8 structure at the PBE+U level of DFT.

* symmetry: No. 164
* energy: -6.111 eV per atom

a b c (Å): 5.6658 5.6658 6.0227
angles (deg): 90.00 90.00 120.00
Fractional coordinates of all 12 atoms:
V 0.3333 0.6667 0.2332
V 0.6667 0.3333 0.7668
Cd 0.0000 0.0000 0.0000
Cu 0.0000 0.0000 0.5000
O 0.1556 0.3112 0.2956
O 0.1556 0.8444 0.2956
O 0.3112 0.1556 0.7044
O 0.3333 0.6667 0.9592
O 0.6667 0.3333 0.0408
O 0.6888 0.8444 0.2956
O 0.8444 0.1556 0.7044
O 0.8444 0.6888 0.7044